1.
The following is a DFT calculation (GGA-PBE) of TiInNiRh after structural relaxation.

Unit cell a=4.6420 b=4.6420 c=4.6420 alpha=127.63 beta=127.63 gamma=77.22
Last column: nearest neighbours and their distance in Å.
Element x y z (fractional)
Ti 0.0000 0.0000 0.0000  4 Ni 2.74, 4 Rh 2.74, 4 In 2.90
In 0.5000 0.5000 0.0000  4 Ni 2.74, 4 Rh 2.74, 4 Ti 2.90
Ni 0.2500 0.7500 0.5000  4 In 2.74, 4 Ti 2.74, 4 Rh 2.90
Rh 0.7500 0.2500 0.5000  4 In 2.74, 4 Ti 2.74, 4 Ni 2.90

Properties
M_tot = 0.00 μB/atom
SG = I-4m2, No. 119
calculated formation energy = -1.85 eV per formula unit
D(E_F) = 2.51 states/eV/cell

---

2.
The following is a DFT calculation (GGA-PBE) of TiInNiRh after structural relaxation.

Unit cell a=4.4252 b=4.4252 c=4.4252 alpha=60.00 beta=60.00 gamma=60.00
Last column: nearest neighbours and their distance in Å.
Element x y z (fractional)
Ti 0.0000 0.0000 0.0000  4 Ni 2.71, 4 Rh 2.71
In 0.5000 0.5000 0.5000  4 Ni 2.71, 4 Rh 2.71
Ni 0.7500 0.7500 0.7500  4 In 2.71, 4 Ti 2.71
Rh 0.2500 0.2500 0.2500  4 In 2.71, 4 Ti 2.71

Properties
M_tot = 0.00 μB/atom
SG = F-43m, No. 216
calculated formation energy = -1.85 eV per formula unit
D(E_F) = 4.09 states/eV/cell

---

3.
The following is a DFT calculation (GGA-PBE) of UInNiRh after structural relaxation.

Unit cell a=4.6869 b=4.6869 c=4.6869 alpha=60.00 beta=60.00 gamma=60.00
Last column: nearest neighbours and their distance in Å.
Element x y z (fractional)
U 0.0000 0.0000 0.0000  4 Rh 2.87, 4 Ni 2.87
In 0.5000 0.5000 0.5000  4 Rh 2.87, 4 Ni 2.87
Ni 0.2500 0.2500 0.2500  4 In 2.87, 4 U 2.87
Rh 0.7500 0.7500 0.7500  4 In 2.87, 4 U 2.87

Properties
M_tot = 0.44 μB/atom
SG = F-43m, No. 216
calculated formation energy = -0.95 eV per formula unit
D(E_F) = 6.44 states/eV/cell

---

4.
The following is a DFT calculation (GGA-PBE) of InNiRh2W after structural relaxation.

Unit cell a=4.7668 b=4.7668 c=4.4710 alpha=90.00 beta=90.00 gamma=90.00
Last column: nearest neighbours and their distance in Å.
Element x y z (fractional)
In 0.0000 0.0000 0.0000  2 Ni 2.24, 4 Rh 2.38
Ni 0.0000 0.0000 0.5000  2 In 2.24
Rh 0.0000 0.5000 0.0000  2 In 2.38
Rh 0.5000 0.0000 0.0000  2 In 2.38
W 0.5000 0.5000 0.5000  8 Rh 3.27, 4 Ni 3.37

Properties
M_tot = 0.60 μB/atom
SG = P4/mmm, No. 123
calculated formation energy = 9.09 eV per formula unit
D(E_F) = 5.98 states/eV/cell

---

5.
The following is a DFT calculation (GGA-PBE) of YInNiRh after structural relaxation.

Unit cell a=4.6792 b=4.6792 c=4.6792 alpha=60.00 beta=60.00 gamma=60.00
Last column: nearest neighbours and their distance in Å.
Element x y z (fractional)
Y 0.0000 0.0000 0.0000  4 Ni 2.87, 4 Rh 2.87
In 0.5000 0.5000 0.5000  4 Ni 2.87, 4 Rh 2.87
Ni 0.7500 0.7500 0.7500  4 In 2.87, 4 Y 2.87
Rh 0.2500 0.2500 0.2500  4 In 2.87, 4 Y 2.87

Properties
M_tot = 0.00 μB/atom
SG = F-43m, No. 216
calculated formation energy = -2.05 eV per formula unit
D(E_F) = 2.91 states/eV/cell

---

6.
The following is a DFT calculation (GGA-PBE) of ZnInNiRh after structural relaxation.

Unit cell a=4.3805 b=4.3805 c=4.3805 alpha=60.00 beta=60.00 gamma=60.00
Last column: nearest neighbours and their distance in Å.
Element x y z (fractional)
Zn 0.0000 0.0000 0.0000  4 Ni 2.68, 4 Rh 2.68
In 0.5000 0.5000 0.5000  4 Rh 2.68, 4 Ni 2.68
Ni 0.2500 0.2500 0.2500  4 In 2.68, 4 Zn 2.68
Rh 0.7500 0.7500 0.7500  4 Zn 2.68, 4 In 2.68

Properties
M_tot = 0.00 μB/atom
SG = F-43m, No. 216
calculated formation energy = -1.03 eV per formula unit
energy above the most stable polymorph in this dataset = 0.0249 eV/atom
D(E_F) = 3.14 states/eV/cell

---

7.
The following is a DFT calculation (GGA-PBE) of Zn3In3NiRh2 after structural relaxation.

Unit cell a=7.5028 b=7.5028 c=3.0949 alpha=90.00 beta=90.00 gamma=120.00
Last column: nearest neighbours and their distance in Å.
Element x y z (fractional)
Zn 0.0000 0.6075 0.0000  4 Rh 2.78, 6 In 2.91-3.05, 1 Ni 2.94, 2 Zn 3.09
Zn 0.3925 0.3925 0.0000  4 Rh 2.78, 6 In 2.91-3.05, 1 Ni 2.94, 2 Zn 3.09
Zn 0.6075 0.0000 0.0000  4 Rh 2.78, 6 In 2.91-3.05, 1 Ni 2.94, 2 Zn 3.09
In 0.0000 0.2792 0.5000  2 Ni 2.60, 2 Rh 2.73, 2 Zn 2.91
In 0.2792 0.0000 0.5000  2 Ni 2.60, 2 Rh 2.73, 2 Zn 2.91
In 0.7208 0.7208 0.5000  2 Ni 2.60, 2 Rh 2.73, 2 Zn 2.91
Ni 0.0000 0.0000 0.0000  6 In 2.60
Rh 0.3333 0.6667 0.5000  3 In 2.73, 6 Zn 2.78
Rh 0.6667 0.3333 0.5000  3 In 2.73, 6 Zn 2.78

Properties
M_tot = 0.00 μB/atom
SG = P-62m, No. 189
calculated formation energy = -1.36 eV per formula unit
D(E_F) = 4.66 states/eV/cell

---

8.
The following is a DFT calculation (GGA-PBE) of ZnIn2NiRh after structural relaxation.

Unit cell a=4.9049 b=4.9049 c=4.6097 alpha=90.00 beta=90.00 gamma=90.00
Last column: nearest neighbours and their distance in Å.
Element x y z (fractional)
Zn 0.0000 0.0000 0.0000  2 Rh 2.30, 4 In 2.45
In 0.0000 0.5000 0.0000  2 Zn 2.45
In 0.5000 0.0000 0.0000  2 Zn 2.45
Ni 0.5000 0.5000 0.5000  8 In 3.37, 4 Rh 3.47
Rh 0.0000 0.0000 0.5000  2 Zn 2.30

Properties
M_tot = 0.13 μB/atom
SG = P4/mmm, No. 123
calculated formation energy = 4.46 eV per formula unit
D(E_F) = 5.03 states/eV/cell

---

9.
The following is a DFT calculation (GGA-PBE) of ZnInNiRh after structural relaxation.

Unit cell a=3.4367 b=4.1022 c=4.2023 alpha=90.00 beta=90.00 gamma=90.00
Last column: nearest neighbours and their distance in Å.
Element x y z (fractional)
Zn 0.0000 0.0000 0.0000  4 Rh 2.68, 4 Ni 2.71, 4 In 2.94
In 0.0000 0.5000 0.5000  4 Ni 2.68, 4 Rh 2.71, 4 Zn 2.94
Ni 0.5000 0.0000 0.5000  4 In 2.68, 4 Zn 2.71, 4 Rh 2.94
Rh 0.5000 0.5000 0.0000  4 Zn 2.68, 4 In 2.71, 4 Ni 2.94

Properties
M_tot = 0.00 μB/atom
SG = Pmmm, No. 47
calculated formation energy = -1.13 eV per formula unit
energy above the most stable polymorph in this dataset = 0.0000 eV/atom
D(E_F) = 0.37 states/eV/cell

---

10.
The following is a DFT calculation (GGA-PBE) of InNiRu2 after structural relaxation.

Unit cell a=5.7021 b=5.7021 c=5.7021 alpha=100.91 beta=100.91 gamma=128.42
Last column: nearest neighbours and their distance in Å.
Element x y z (fractional)
In 0.0000 0.0000 0.0000  2 Ni 2.48
In 0.7500 0.2500 0.5000  2 Ni 2.48
Ni 0.2500 0.7500 0.5000  4 Ru 2.39, 2 In 2.48
Ni 0.5000 0.5000 0.0000  4 Ru 2.39, 2 In 2.48
Ru 0.1788 0.6250 0.0538  2 Ni 2.39, 2 Ru 2.60
Ru 0.3750 0.4288 0.5538  2 Ni 2.39, 2 Ru 2.60
Ru 0.5712 0.1250 0.9462  2 Ni 2.39, 2 Ru 2.60
Ru 0.8750 0.8212 0.4462  2 Ni 2.39, 2 Ru 2.60

Properties
M_tot = 0.00 μB/atom
SG = I-42d, No. 122
calculated formation energy = 2.48 eV per formula unit
D(E_F) = 14.71 states/eV/cell

---

11.
The following is a DFT calculation (GGA-PBE) of InNiRu2 after structural relaxation.

Unit cell a=4.7040 b=4.7040 c=4.7040 alpha=130.48 beta=130.48 gamma=72.65
Last column: nearest neighbours and their distance in Å.
Element x y z (fractional)
In 0.0000 0.0000 0.0000  8 Ru 2.73-2.79, 4 Ni 2.73
Ni 0.2500 0.7500 0.5000  4 In 2.73, 8 Ru 2.73-2.79
Ru 0.5000 0.5000 0.0000  4 Ru 2.73, 4 Ni 2.73, 4 In 2.79
Ru 0.7500 0.2500 0.5000  4 In 2.73, 4 Ru 2.73, 4 Ni 2.79

Properties
M_tot = 0.00 μB/atom
SG = I-4m2, No. 119
calculated formation energy = 0.65 eV per formula unit
D(E_F) = 3.48 states/eV/cell

---

12.
The following is a DFT calculation (GGA-PBE) of InNiRu2 after structural relaxation.

Unit cell a=4.8440 b=4.8440 c=4.8440 alpha=133.02 beta=133.02 gamma=68.62
Last column: nearest neighbours and their distance in Å.
Element x y z (fractional)
In 0.0000 0.0000 0.0000  4 Ni 2.73, 8 Ru 2.78
Ni 0.5000 0.5000 0.0000  4 In 2.73, 8 Ru 2.78
Ru 0.2500 0.7500 0.5000  4 Ru 2.73, 4 Ni 2.78, 4 In 2.78
Ru 0.7500 0.2500 0.5000  4 Ru 2.73, 4 Ni 2.78, 4 In 2.78

Properties
M_tot = 0.46 μB/atom
SG = I4/mmm, No. 139
calculated formation energy = 1.08 eV per formula unit
D(E_F) = 6.68 states/eV/cell